[1]
Entry from the Alexandria database: Mg2ScAl2 after structural relaxation (PBEsol).

Lattice parameters (Å, degrees): 3.2232 7.8928 7.8928 90.00 90.00 90.00
With the nearest neighbours (Å) after each atom.
Sites, in units of the cell vectors:
Al1 0.0000 0.6230 0.1230  1 Al 2.75, 6 Mg 2.77-2.88
Mg1 0.5000 0.1749 0.6749  6 Al 2.77-2.88
Al2 0.0000 0.3770 0.8770  1 Al 2.75, 6 Mg 2.77-2.88
Al3 0.0000 0.8770 0.6230  1 Al 2.75, 6 Mg 2.77-2.88
Mg2 0.5000 0.6749 0.8251  6 Al 2.77-2.88
Al4 0.0000 0.1230 0.3770  1 Al 2.75, 6 Mg 2.77-2.88
Mg3 0.5000 0.3251 0.1749  6 Al 2.77-2.88
Mg4 0.5000 0.8251 0.3251  6 Al 2.77-2.88
Sc1 0.0000 0.5000 0.5000  4 Al 3.13, 2 Sc 3.22, 8 Mg 3.33
Sc2 0.0000 0.0000 0.0000  4 Al 3.13, 2 Sc 3.22, 8 Mg 3.33

Summary:
Energy of formation = -0.029 eV per atom
D(E_F) = 7.21 states/eV per cell

***

[2]
Entry from the Alexandria database: Mg16ScAl12 after structural relaxation (PBEsol).

Lattice parameters (Å, degrees): 9.0336 9.0336 9.0336 109.47 109.47 109.47
With the nearest neighbours (Å) after each atom.
Sites, in units of the cell vectors:
Mg1 0.3974 0.3974 0.7155  5 Al 2.86-3.14, 7 Mg 3.01-3.13
Mg2 0.0000 0.6026 0.3181  5 Al 2.86-3.14, 7 Mg 3.01-3.13
Mg3 0.7155 0.3974 0.3974  5 Al 2.86-3.14, 7 Mg 3.01-3.13
Al1 0.6345 0.0000 0.8144  3 Al 2.65-2.74, 3 Mg 2.86-2.97
Mg4 0.0000 0.0000 0.3502  3 Mg 3.01, 6 Al 3.09, 1 Sc 3.16
Al2 0.8144 0.6345 0.0000  3 Al 2.65-2.74, 3 Mg 2.86-2.97
Al3 0.8201 0.1856 0.1856  3 Al 2.65-2.74, 3 Mg 2.86-2.97
Mg5 0.0000 0.3502 0.0000  3 Mg 3.01, 6 Al 3.09, 1 Sc 3.16
Mg6 0.6819 0.6819 0.2845  5 Al 2.86-3.14, 7 Mg 3.01-3.13
Mg7 0.3974 0.7155 0.3974  5 Al 2.86-3.14, 7 Mg 3.01-3.13
Al4 0.1856 0.8201 0.1856  3 Al 2.65-2.74, 3 Mg 2.86-2.97
Mg8 0.3181 0.0000 0.6026  5 Al 2.86-3.14, 7 Mg 3.01-3.13
Al5 0.8144 0.0000 0.6345  3 Al 2.65-2.74, 3 Mg 2.86-2.97
Mg9 0.3181 0.6026 0.0000  5 Al 2.86-3.14, 7 Mg 3.01-3.13
Al6 0.3655 0.3655 0.1799  3 Al 2.65-2.74, 3 Mg 2.86-2.97
Mg10 0.6026 0.3181 0.0000  5 Al 2.86-3.14, 7 Mg 3.01-3.13
Al7 0.1799 0.3655 0.3655  3 Al 2.65-2.74, 3 Mg 2.86-2.97
Mg11 0.6498 0.6498 0.6498  3 Mg 3.01, 6 Al 3.09, 1 Sc 3.16
Al8 0.6345 0.8144 0.0000  3 Al 2.65-2.74, 3 Mg 2.86-2.97
Al9 0.0000 0.8144 0.6345  3 Al 2.65-2.74, 3 Mg 2.86-2.97
Mg12 0.6026 0.0000 0.3181  5 Al 2.86-3.14, 7 Mg 3.01-3.13
Mg13 0.3502 0.0000 0.0000  3 Mg 3.01, 6 Al 3.09, 1 Sc 3.16
Mg14 0.6819 0.2845 0.6819  5 Al 2.86-3.14, 7 Mg 3.01-3.13
Al10 0.3655 0.1799 0.3655  3 Al 2.65-2.74, 3 Mg 2.86-2.97
Al11 0.0000 0.6345 0.8144  3 Al 2.65-2.74, 3 Mg 2.86-2.97
Mg15 0.0000 0.3181 0.6026  5 Al 2.86-3.14, 7 Mg 3.01-3.13
Mg16 0.2845 0.6819 0.6819  5 Al 2.86-3.14, 7 Mg 3.01-3.13
Sc1 0.0000 0.0000 0.0000  4 Mg 3.16, 12 Al 3.17
Al12 0.1856 0.1856 0.8201  3 Al 2.65-2.74, 3 Mg 2.86-2.97

Summary:
Energy of formation = -0.057 eV per atom
D(E_F) = 11.55 states/eV per cell

***

[3]
Entry from the Alexandria database: Mg2ScAl after structural relaxation (PBEsol).

Lattice parameters (Å, degrees): 4.2158 4.2158 4.5440 90.00 90.00 90.00
With the nearest neighbours (Å) after each atom.
Sites, in units of the cell vectors:
Al1 0.0000 0.0000 0.5000  4 Sc 2.98, 8 Mg 3.10
Sc1 0.5000 0.5000 0.5000  4 Al 2.98, 8 Mg 3.10
Mg1 0.0000 0.5000 0.0000  4 Mg 2.98, 4 Al 3.10, 4 Sc 3.10
Mg2 0.5000 0.0000 0.0000  4 Mg 2.98, 4 Al 3.10, 4 Sc 3.10

Summary:
Energy of formation = -0.193 eV per atom
D(E_F) = 2.39 states/eV per cell

***

> The lowest energy of formation belongs to which entry?

Mg2ScAl

***

> Which of these has the highest energy of formation?

Mg2ScAl2